# 1
# Pr2Pd2Au (PBE, relaxed)
# DFT total energy = -5.433 eV per atom
# energy relative to the elements = -0.788 eV/atom
# total magnetic moment = 0.0 μB per formula unit
data_Pr2Pd2Au
_cell_length_a 7.774
_cell_length_b 7.774
_cell_length_c 3.903
_cell_angle_alpha 90.00
_cell_angle_beta 90.00
_cell_angle_gamma 90.00
_space_group_name_H-M_alt 'P 4/m b m'
_space_group_IT_number 127
_space_group_name_Hall '-P 4 2ab'
loop_
_atom_site_label
_atom_site_type_symbol
_atom_site_fract_x
_atom_site_fract_y
_atom_site_fract_z
Pr1 Pr 0.177 0.323 0.000
Pd1 Pd 0.127 0.627 0.500
Au1 Au 0.000 0.000 0.500


# 2
# CaY2PdC (PBE, relaxed)
# DFT total energy = -6.129 eV per atom
# energy relative to the elements = -0.260 eV/atom
# total magnetic moment = 0.0 μB per formula unit
data_CaY2PdC
_cell_length_a 4.854
_cell_length_b 4.854
_cell_length_c 4.931
_cell_angle_alpha 90.00
_cell_angle_beta 90.00
_cell_angle_gamma 90.00
_space_group_name_H-M_alt 'P 4/m m m'
_space_group_IT_number 123
_space_group_name_Hall '-P 4 2'
loop_
_atom_site_label
_atom_site_type_symbol
_atom_site_fract_x
_atom_site_fract_y
_atom_site_fract_z
Ca1 Ca 0.000 0.000 0.000
Y1 Y 0.000 0.500 0.500
Pd1 Pd 0.500 0.500 0.000
C1 C 0.000 0.000 0.500


# 3
# YTiB (PBE, relaxed)
# DFT total energy = -7.051 eV per atom
# energy relative to the elements = -0.039 eV/atom
# total magnetic moment = 1.6 μB per formula unit
data_YTiB
_cell_length_a 3.812
_cell_length_b 11.746
_cell_length_c 6.772
_cell_angle_alpha 90.00
_cell_angle_beta 90.00
_cell_angle_gamma 90.00
_space_group_name_H-M_alt 'A m m 2'
_space_group_IT_number 38
loop_
_space_group_symop_operation_xyz
'x,y,z'
'-x,-y,z'
'-x,y,z'
'x,-y,z'
'x,y+1/2,z+1/2'
'-x,-y+1/2,z+1/2'
'-x,y+1/2,z+1/2'
'x,-y+1/2,z+1/2'
loop_
_atom_site_label
_atom_site_type_symbol
_atom_site_fract_x
_atom_site_fract_y
_atom_site_fract_z
Y1 Y 0.000 0.000 0.000
Y2 Y 0.000 0.205 0.385
Ti1 Ti 0.500 0.000 0.348
Ti2 Ti 0.500 0.121 0.711
B1 B 0.000 0.000 0.589
B2 B 0.500 0.167 0.090


# 4
# Tb2PCl2 (PBE, relaxed)
# DFT total energy = -5.641 eV per atom
# uncorrected formation energy = -1969 meV/atom
# total magnetic moment = 0.0 μB per formula unit
data_Tb2PCl2
_cell_length_a 3.9684
_cell_length_b 3.9684
_cell_length_c 30.2728
_cell_angle_alpha 90.00
_cell_angle_beta 90.00
_cell_angle_gamma 120.00
_space_group_name_H-M_alt 'R -3 m'
_space_group_IT_number 166
_space_group_name_Hall '-R 3 2"'
loop_
_atom_site_label
_atom_site_type_symbol
_atom_site_fract_x
_atom_site_fract_y
_atom_site_fract_z
Tb1 Tb 0.0000 0.0000 0.1155
P1 P 0.0000 0.0000 0.5000
Cl1 Cl 0.0000 0.0000 0.2722


# 5
# Pa2SF4 (PBE, relaxed)
# DFT total energy = -7.353 eV per atom
# uncorrected formation energy = -2981 meV/atom
# total magnetic moment = 3.2 μB per formula unit
data_Pa2SF4
_cell_length_a 7.624
_cell_length_b 7.624
_cell_length_c 3.702
_cell_angle_alpha 90.00
_cell_angle_beta 90.00
_cell_angle_gamma 90.00
_space_group_name_H-M_alt 'P 42/m n m'
_space_group_IT_number 136
_space_group_name_Hall '-P 4n 2n'
loop_
_atom_site_label
_atom_site_type_symbol
_atom_site_fract_x
_atom_site_fract_y
_atom_site_fract_z
Pa1 Pa 0.194 0.194 0.000
S1 S 0.000 0.000 0.500
F1 F 0.090 0.667 0.000


# 6
# Ho3Sb2H2 (PBE, relaxed)
# DFT total energy = -4.862 eV per atom
# total magnetic moment = 0.0 μB per formula unit
data_Ho3Sb2H2
_cell_length_a 6.195
_cell_length_b 7.048
_cell_length_c 8.209
_cell_angle_alpha 90.00
_cell_angle_beta 119.81
_cell_angle_gamma 90.00
_space_group_name_H-M_alt 'P 1 21/c 1'
_space_group_IT_number 14
loop_
_space_group_symop_operation_xyz
'x,y,z'
'-x,-y,-z'
'-x,y+1/2,-z+1/2'
'x,-y+1/2,z+1/2'
loop_
_atom_site_label
_atom_site_type_symbol
_atom_site_fract_x
_atom_site_fract_y
_atom_site_fract_z
Ho1 Ho 0.000 0.000 0.000
Ho2 Ho 0.358 0.061 0.728
Sb1 Sb 0.230 0.693 0.887
H1 H 0.345 0.144 0.159